Computed, not measured: a relaxed structure of Sm2TmGa2Cu2 at the GGA-PBE level of DFT.

Values from the calculation:
calculated total energy = -4.415 eV/atom
SG = No. 166
size of the total moment = 0.00 μB/cell
ΔE_f = -0.39 eV/atom

Cell: 9.6455 9.6455 9.6455 Å, 26.20 26.20 26.20°
Atoms (fractional coordinates):
1 Sm 0.1223 0.1223 0.1223
2 Sm 0.8777 0.8777 0.8777
3 Tm 0.0000 0.0000 0.0000
4 Ga 0.2693 0.2693 0.2693
5 Ga 0.7307 0.7307 0.7307
6 Cu 0.3905 0.3905 0.3905
7 Cu 0.6095 0.6095 0.6095

Computed, not measured: a relaxed structure of Ac2In4Pt3Rh at the GGA-PBE level of DFT.

Values from the calculation:
calculated total energy = -5.184 eV/atom
SG = No. 115
size of the total moment = 0.00 μB/cell
ΔE_f = -0.72 eV/atom

Cell: 4.7257 4.7257 10.7092 Å, 90.00 90.00 90.00°
Atoms (fractional coordinates):
1 Ac 0.0000 0.5000 0.2366
2 Ac 0.5000 0.0000 0.7634
3 In 0.0000 0.0000 0.5000
4 In 0.0000 0.5000 0.8807
5 In 0.5000 0.0000 0.1193
6 In 0.5000 0.5000 0.5000
7 Pt 0.0000 0.0000 0.0000
8 Pt 0.0000 0.5000 0.6327
9 Pt 0.5000 0.0000 0.3673
10 Rh 0.5000 0.5000 0.0000

Computed, not measured: a relaxed structure of SmMg2CdHg4 at the GGA-PBE level of DFT.

Values from the calculation:
calculated total energy = -1.520 eV/atom
SG = No. 166
size of the total moment = 0.00 μB/cell
ΔE_f = -0.27 eV/atom

Cell: 9.3577 9.3577 9.3577 Å, 30.57 30.57 30.57°
Atoms (fractional coordinates):
1 Sm 0.0000 0.0000 0.0000
2 Mg 0.2455 0.2455 0.2455
3 Mg 0.7545 0.7545 0.7545
4 Cd 0.5000 0.5000 0.5000
5 Hg 0.1230 0.1230 0.1230
6 Hg 0.3821 0.3821 0.3821
7 Hg 0.6179 0.6179 0.6179
8 Hg 0.8770 0.8770 0.8770

Computed, not measured: a relaxed structure of Cd2GaPb at the GGA-PBE level of DFT.

Values from the calculation:
calculated total energy = -2.077 eV/atom
SG = No. 123
size of the total moment = 0.00 μB/cell
energy relative to the lowest polymorph listed for this composition = 0.0 meV per atom
ΔE_f = 0.06 eV/atom

Cell: 3.6320 3.6320 7.4594 Å, 90.00 90.00 90.00°
Atoms (fractional coordinates):
1 Cd 0.0000 0.0000 0.2147
2 Cd 0.0000 0.0000 0.7853
3 Ga 0.5000 0.5000 0.0000
4 Pb 0.5000 0.5000 0.5000

Computed, not measured: a relaxed structure of Cr2CdNi at the GGA-PBE level of DFT.

Values from the calculation:
calculated total energy = -6.264 eV/atom
SG = No. 99
size of the total moment = 0.09 μB/cell
ΔE_f = 0.22 eV/atom

Cell: 3.0157 3.0157 6.2501 Å, 90.00 90.00 90.00°
Atoms (fractional coordinates):
1 Cr 0.0000 0.0000 0.0000
2 Cr 0.5000 0.5000 0.1917
3 Cd 0.5000 0.5000 0.6872
4 Ni 0.0000 0.0000 0.4211

Computed, not measured: a relaxed structure of ZrPa3Bi6 at the GGA-PBE level of DFT.

Values from the calculation:
calculated total energy = -5.988 eV/atom
SG = No. 36
size of the total moment = 1.72 μB/cell
ΔE_f = 0.04 eV/atom

Cell: 9.5580 9.5580 7.4617 Å, 90.00 90.00 100.91°
Atoms (fractional coordinates):
1 Zr 0.1596 0.8404 0.5000
2 Zr 0.8404 0.1596 0.0000
3 Pa 0.0773 0.2780 0.5266
4 Pa 0.2780 0.0773 0.0266
5 Pa 0.4006 0.5994 0.1484
6 Pa 0.5994 0.4006 0.6484
7 Pa 0.7220 0.9227 0.5266
8 Pa 0.9227 0.7220 0.0266
9 Bi 0.0028 0.9972 0.7651
10 Bi 0.0868 0.5639 0.3168
11 Bi 0.2427 0.7573 0.8603
12 Bi 0.2950 0.3784 0.8405
13 Bi 0.3784 0.2950 0.3405
14 Bi 0.4361 0.9132 0.3168
15 Bi 0.5639 0.0868 0.8168
16 Bi 0.6216 0.7050 0.8405
17 Bi 0.7050 0.6216 0.3405
18 Bi 0.7573 0.2427 0.3603
19 Bi 0.9132 0.4361 0.8168
20 Bi 0.9972 0.0028 0.2651

Computed, not measured: a relaxed structure of CrNiOs2 at the GGA-PBE level of DFT.

Values from the calculation:
calculated total energy = -9.393 eV/atom
SG = No. 123
size of the total moment = 0.48 μB/cell
energy relative to the lowest polymorph listed for this composition = 0.0 meV per atom
ΔE_f = 0.07 eV/atom

Cell: 3.7640 3.7640 3.6409 Å, 90.00 90.00 90.00°
Atoms (fractional coordinates):
1 Cr 0.0000 0.0000 0.0000
2 Ni 0.5000 0.5000 0.0000
3 Os 0.0000 0.5000 0.5000
4 Os 0.5000 0.0000 0.5000

Computed, not measured: a relaxed structure of CaTmSbAu at the GGA-PBE level of DFT.

Values from the calculation:
calculated total energy = -4.237 eV/atom
SG = No. 216
size of the total moment = 0.00 μB/cell
formation energy without anion corrections = -769 meV per atom

Cell: 7.3793 7.3793 7.3793 Å, 90.00 90.00 90.00°
Atoms (fractional coordinates):
1 Ca 0.0000 0.0000 0.0000
2 Ca 0.0000 0.5000 0.5000
3 Ca 0.5000 0.0000 0.5000
4 Ca 0.5000 0.5000 0.0000
5 Tm 0.0000 0.0000 0.5000
6 Tm 0.0000 0.5000 0.0000
7 Tm 0.5000 0.0000 0.0000
8 Tm 0.5000 0.5000 0.5000
9 Sb 0.2500 0.2500 0.2500
10 Sb 0.2500 0.7500 0.7500
11 Sb 0.7500 0.2500 0.7500
12 Sb 0.7500 0.7500 0.2500
13 Au 0.2500 0.2500 0.7500
14 Au 0.2500 0.7500 0.2500
15 Au 0.7500 0.2500 0.2500
16 Au 0.7500 0.7500 0.7500

Computed, not measured: a relaxed structure of Ca2Tl2F at the GGA-PBE level of DFT.

Values from the calculation:
calculated total energy = -3.254 eV/atom
SG = No. 127
size of the total moment = 0.00 μB/cell
formation energy without anion corrections = -1133 meV per atom

Cell: 6.8726 6.8726 5.6223 Å, 90.00 90.00 90.00°
Atoms (fractional coordinates):
1 Ca 0.1833 0.3167 0.0000
2 Ca 0.3167 0.8167 0.0000
3 Ca 0.6833 0.1833 0.0000
4 Ca 0.8167 0.6833 0.0000
5 Tl 0.1551 0.6551 0.5000
6 Tl 0.3449 0.1551 0.5000
7 Tl 0.6551 0.8449 0.5000
8 Tl 0.8449 0.3449 0.5000
9 F 0.0000 0.0000 0.0000
10 F 0.5000 0.5000 0.0000

Computed, not measured: a relaxed structure of AcLa5Pr8 at the GGA-PBE level of DFT.

Values from the calculation:
calculated total energy = -4.578 eV/atom
SG = No. 82
size of the total moment = 0.00 μB/cell
ΔE_f = 0.21 eV/atom

Cell: 8.8448 8.8448 8.8448 Å, 111.43 111.43 105.62°
Atoms (fractional coordinates):
1 Ac 0.0000 0.0000 0.0000
2 La 0.0349 0.4340 0.8247
3 La 0.2500 0.7500 0.5000
4 La 0.5660 0.3908 0.6009
5 La 0.6092 0.2101 0.1753
6 La 0.7899 0.9651 0.3991
7 Pr 0.0883 0.3343 0.4115
8 Pr 0.2820 0.1809 0.7471
9 Pr 0.3232 0.9117 0.2460
10 Pr 0.4338 0.5348 0.2529
11 Pr 0.4652 0.7180 0.8989
12 Pr 0.6657 0.0772 0.7540
13 Pr 0.8191 0.5662 0.1011
14 Pr 0.9228 0.6768 0.5885

Computed, not measured: a relaxed structure of BaZn2Br at the GGA-PBE level of DFT.

Values from the calculation:
calculated total energy = -2.048 eV/atom
SG = No. 12
size of the total moment = 0.00 μB/cell
formation energy without anion corrections = -512 meV per atom
energy relative to the lowest polymorph listed for this composition = 114.5 meV per atom

Cell: 6.3887 12.5518 4.4886 Å, 90.00 134.32 90.00°
Atoms (fractional coordinates):
1 Ba 0.0000 0.0000 0.0000
2 Ba 0.5000 0.5000 0.0000
3 Zn 0.2500 0.2500 0.5000
4 Zn 0.2500 0.7500 0.5000
5 Zn 0.7500 0.2500 0.5000
6 Zn 0.7500 0.7500 0.5000
7 Br 0.0000 0.5000 0.0000
8 Br 0.5000 0.0000 0.0000

Computed, not measured: a relaxed structure of LiGaSe2 at the GGA-PBE level of DFT.

Values from the calculation:
calculated total energy = -3.829 eV/atom
SG = No. 15
size of the total moment = 0.00 μB/cell
formation energy without anion corrections = -852 meV per atom

Cell: 7.8773 7.8773 13.1217 Å, 91.03 91.03 90.95°
Atoms (fractional coordinates):
1 Li 0.0937 0.7546 0.6149
2 Li 0.2454 0.9063 0.8851
3 Li 0.2521 0.4116 0.1160
4 Li 0.4116 0.2521 0.6160
5 Li 0.5884 0.7479 0.3840
6 Li 0.7479 0.5884 0.8840
7 Li 0.7546 0.0937 0.1149
8 Li 0.9063 0.2454 0.3851
9 Ga 0.0076 0.2577 0.8504
10 Ga 0.2509 0.5093 0.3496
11 Ga 0.2577 0.0076 0.3504
12 Ga 0.4907 0.7491 0.1504
13 Ga 0.5093 0.2509 0.8496
14 Ga 0.7423 0.9924 0.6496
15 Ga 0.7491 0.4907 0.6504
16 Ga 0.9924 0.7423 0.1496
17 Se 0.0026 0.5244 0.7594
18 Se 0.0027 0.9973 0.7500
19 Se 0.2144 0.2604 0.4589
20 Se 0.2400 0.7130 0.0379
21 Se 0.2604 0.2144 0.9589
22 Se 0.2870 0.7600 0.4621
23 Se 0.4756 0.9974 0.7406
24 Se 0.4896 0.5104 0.7500
25 Se 0.5104 0.4896 0.2500
26 Se 0.5244 0.0026 0.2594
27 Se 0.7130 0.2400 0.5379
28 Se 0.7396 0.7856 0.0411
29 Se 0.7600 0.2870 0.9621
30 Se 0.7856 0.7396 0.5411
31 Se 0.9973 0.0027 0.2500
32 Se 0.9974 0.4756 0.2406

Computed, not measured: a relaxed structure of CrIr2Au at the GGA-PBE level of DFT.

Values from the calculation:
calculated total energy = -7.498 eV/atom
SG = No. 123
size of the total moment = 2.39 μB/cell
energy relative to the lowest polymorph listed for this composition = 133.4 meV per atom
ΔE_f = 0.16 eV/atom

Cell: 3.9345 3.9345 3.8630 Å, 90.00 90.00 90.00°
Atoms (fractional coordinates):
1 Cr 0.0000 0.0000 0.0000
2 Ir 0.0000 0.5000 0.5000
3 Ir 0.5000 0.0000 0.5000
4 Au 0.5000 0.5000 0.0000

Computed, not measured: a relaxed structure of HoSc4Os2 at the GGA-PBE level of DFT.

Values from the calculation:
calculated total energy = -7.769 eV/atom
SG = No. 11
size of the total moment = 0.00 μB/cell
ΔE_f = -0.29 eV/atom

Cell: 7.3588 5.8523 7.5974 Å, 90.00 111.74 90.00°
Atoms (fractional coordinates):
1 Ho 0.0139 0.2500 0.1567
2 Ho 0.9861 0.7500 0.8433
3 Sc 0.2387 0.5007 0.5797
4 Sc 0.2387 0.9993 0.5797
5 Sc 0.3333 0.7500 0.2591
6 Sc 0.3872 0.2500 0.0209
7 Sc 0.6128 0.7500 0.9791
8 Sc 0.6667 0.2500 0.7409
9 Sc 0.7613 0.0007 0.4203
10 Sc 0.7613 0.4993 0.4203
11 Os 0.0307 0.2500 0.7454
12 Os 0.4235 0.2500 0.3770
13 Os 0.5765 0.7500 0.6230
14 Os 0.9693 0.7500 0.2546

Computed, not measured: a relaxed structure of BaSm4Tl3O12 at the GGA-PBE level of DFT.

Values from the calculation:
calculated total energy = -6.510 eV/atom
SG = No. 204
size of the total moment = 1.09 μB/cell
formation energy without anion corrections = -2140 meV per atom

Cell: 7.5286 7.5286 7.5286 Å, 109.47 109.47 109.47°
Atoms (fractional coordinates):
1 Ba 0.0000 0.0000 0.0000
2 Sm 0.0000 0.0000 0.5000
3 Sm 0.0000 0.5000 0.0000
4 Sm 0.5000 0.0000 0.0000
5 Sm 0.5000 0.5000 0.5000
6 Tl 0.0000 0.5000 0.5000
7 Tl 0.5000 0.0000 0.5000
8 Tl 0.5000 0.5000 0.0000
9 O 0.1421 0.3103 0.8318
10 O 0.1682 0.4785 0.3103
11 O 0.1682 0.8579 0.6897
12 O 0.3103 0.1682 0.4785
13 O 0.3103 0.8318 0.1421
14 O 0.4785 0.3103 0.1682
15 O 0.5215 0.6897 0.8318
16 O 0.6897 0.1682 0.8579
17 O 0.6897 0.8318 0.5215
18 O 0.8318 0.1421 0.3103
19 O 0.8318 0.5215 0.6897
20 O 0.8579 0.6897 0.1682

Computed, not measured: a relaxed structure of BeB2Pt4 at the GGA-PBE level of DFT.

Values from the calculation:
calculated total energy = -6.181 eV/atom
SG = No. 10
size of the total moment = 0.00 μB/cell
ΔE_f = -0.29 eV/atom

Cell: 4.1746 3.4663 5.9950 Å, 90.00 90.24 90.00°
Atoms (fractional coordinates):
1 Be 0.0000 0.0000 0.0000
2 B 0.5000 0.0000 0.0000
3 B 0.5000 0.5000 0.5000
4 Pt 0.2505 0.0000 0.3430
5 Pt 0.2591 0.5000 0.8243
6 Pt 0.7409 0.5000 0.1757
7 Pt 0.7495 0.0000 0.6570